No. 1
Here is Pr3Ga3Ag2 after structural relaxation from Alexandria. Energies are from GGA-PBE.

Calculated values
Magnetic moment = 0.000 μB per cell
DOS(E_F) = 5.9 states/eV/f.u.
Formation enthalpy at 0 K = -0.486 eV/atom

Lattice parameters (Å, degrees): 4.628 15.440 5.894 90.00 112.99 90.00
Sites, in units of the cell vectors:
Pr: 0.104 0.108 0.207
Pr: 0.104 0.392 0.207
Pr: 0.379 0.250 0.755
Pr: 0.621 0.750 0.245
Pr: 0.896 0.608 0.793
Pr: 0.896 0.892 0.793
Ga: 0.336 0.750 0.672
Ga: 0.396 0.040 0.793
Ga: 0.396 0.460 0.793
Ga: 0.604 0.540 0.207
Ga: 0.604 0.960 0.207
Ga: 0.664 0.250 0.328
Ag: 0.197 0.598 0.394
Ag: 0.197 0.902 0.394
Ag: 0.803 0.098 0.606
Ag: 0.803 0.402 0.606

No. 2
Here is CaAcNi2 after structural relaxation from Alexandria. Energies are from GGA-PBE.

Calculated values
Magnetic moment = 0.000 μB per cell
DOS(E_F) = 1.8 states/eV/f.u.
Formation enthalpy at 0 K = -0.087 eV/atom

Lattice parameters (Å, degrees): 5.017 5.017 3.564 90.00 90.00 90.00
Sites, in units of the cell vectors:
Ca: 0.000 0.000 0.000
Ac: 0.500 0.500 0.000
Ni: 0.000 0.500 0.500
Ni: 0.500 0.000 0.500

No. 3
Here is PdPt after structural relaxation from Alexandria. Energies are from GGA-PBE.

Calculated values
Magnetic moment = 0.000 μB per cell
DOS(E_F) = 2.9 states/eV/f.u.
Formation enthalpy at 0 K = 0.355 eV/atom

Lattice parameters (Å, degrees): 5.119 5.119 5.306 90.00 90.00 90.00
Sites, in units of the cell vectors:
Pd: 0.184 0.184 0.000
Pd: 0.316 0.684 0.500
Pd: 0.684 0.316 0.500
Pd: 0.816 0.816 0.000
Pt: 0.183 0.183 0.500
Pt: 0.317 0.683 0.000
Pt: 0.683 0.317 0.000
Pt: 0.817 0.817 0.500

No. 4
Here is TaCuS2Cl after structural relaxation from Alexandria. Energies are from GGA-PBE.

Calculated values
Raw formation energy = 0.64 eV per atom
Magnetic moment = 2.028 μB per cell
Polymorph energy (0 for the lowest one) = 735.0 meV/atom
DOS(E_F) = 3.7 states/eV/f.u.

Lattice parameters (Å, degrees): 4.555 4.555 4.394 90.00 90.00 90.00
Sites, in units of the cell vectors:
Ta: 0.000 0.000 0.000
Cu: 0.500 0.500 0.500
S: 0.000 0.500 0.500
S: 0.500 0.000 0.500
Cl: 0.500 0.500 0.000

No. 5
Here is Mg5Hg2Pt2Rh after structural relaxation from Alexandria. Energies are from GGA-PBE.

Calculated values
Magnetic moment = 0.000 μB per cell
DOS(E_F) = 3.3 states/eV/f.u.
Formation enthalpy at 0 K = -0.482 eV/atom

Lattice parameters (Å, degrees): 11.331 11.331 3.026 90.00 90.00 90.00
Sites, in units of the cell vectors:
Mg: 0.000 0.500 0.000
Mg: 0.053 0.188 0.000
Mg: 0.188 0.947 0.000
Mg: 0.312 0.447 0.000
Mg: 0.447 0.688 0.000
Mg: 0.500 0.000 0.000
Mg: 0.553 0.312 0.000
Mg: 0.688 0.553 0.000
Mg: 0.812 0.053 0.000
Mg: 0.947 0.812 0.000
Hg: 0.176 0.676 0.500
Hg: 0.324 0.176 0.500
Hg: 0.676 0.824 0.500
Hg: 0.824 0.324 0.500
Pt: 0.137 0.363 0.500
Pt: 0.363 0.863 0.500
Pt: 0.637 0.137 0.500
Pt: 0.863 0.637 0.500
Rh: 0.000 0.000 0.500
Rh: 0.500 0.500 0.500

No. 6
Here is LiDyTe2O6 after structural relaxation from Alexandria. Energies are from GGA-PBE.

Calculated values
Raw formation energy = -1.77 eV per atom
Magnetic moment = 0.000 μB per cell
DOS(E_F) = 0.0 states/eV/f.u.

Lattice parameters (Å, degrees): 7.536 7.536 5.554 95.86 95.86 84.42
Sites, in units of the cell vectors:
Li: 0.143 0.857 0.750
Li: 0.857 0.143 0.250
Dy: 0.376 0.624 0.250
Dy: 0.624 0.376 0.750
Te: 0.140 0.335 0.603
Te: 0.335 0.140 0.103
Te: 0.665 0.860 0.897
Te: 0.860 0.665 0.397
O: 0.108 0.203 0.259
O: 0.130 0.694 0.438
O: 0.203 0.108 0.759
O: 0.306 0.870 0.062
O: 0.345 0.394 0.969
O: 0.394 0.345 0.469
O: 0.606 0.655 0.531
O: 0.655 0.606 0.031
O: 0.694 0.130 0.938
O: 0.797 0.892 0.241
O: 0.870 0.306 0.562
O: 0.892 0.797 0.741

No. 7
Here is Tl2Hg after structural relaxation from Alexandria. Energies are from GGA-PBE.

Calculated values
Magnetic moment = 0.000 μB per cell
Polymorph energy (0 for the lowest one) = 17.2 meV/atom
DOS(E_F) = 1.2 states/eV/f.u.
Formation enthalpy at 0 K = 0.009 eV/atom

Lattice parameters (Å, degrees): 10.116 10.116 10.116 60.00 60.00 60.00
Sites, in units of the cell vectors:
Tl: 0.000 0.000 0.000
Tl: 0.000 0.000 0.500
Tl: 0.000 0.500 0.000
Tl: 0.185 0.185 0.565
Tl: 0.185 0.565 0.185
Tl: 0.185 0.565 0.565
Tl: 0.435 0.435 0.815
Tl: 0.435 0.815 0.435
Tl: 0.435 0.815 0.815
Tl: 0.500 0.000 0.000
Tl: 0.565 0.185 0.185
Tl: 0.565 0.185 0.565
Tl: 0.565 0.565 0.185
Tl: 0.815 0.435 0.435
Tl: 0.815 0.435 0.815
Tl: 0.815 0.815 0.435
Hg: 0.147 0.784 0.784
Hg: 0.216 0.216 0.216
Hg: 0.216 0.216 0.853
Hg: 0.216 0.853 0.216
Hg: 0.784 0.147 0.784
Hg: 0.784 0.784 0.147
Hg: 0.784 0.784 0.784
Hg: 0.853 0.216 0.216

No. 8
Here is Li2PaAuO6 after structural relaxation from Alexandria. Energies are from GGA-PBE.

Calculated values
Raw formation energy = -1.81 eV per atom
Magnetic moment = 0.000 μB per cell

Lattice parameters (Å, degrees): 5.877 5.877 5.877 53.42 53.42 53.42
Sites, in units of the cell vectors:
Li: 0.206 0.206 0.206
Li: 0.794 0.794 0.794
Pa: 0.000 0.000 0.000
Au: 0.500 0.500 0.500
O: 0.123 0.756 0.393
O: 0.244 0.607 0.877
O: 0.393 0.123 0.756
O: 0.607 0.877 0.244
O: 0.756 0.393 0.123
O: 0.877 0.244 0.607

no.,mass density (g/cm3)
1,7.26
2,7.12
3,14.40
4,6.27
5,8.68
6,5.56
7,11.06
8,7.36